(1)
Below is OsAuS2N after structural relaxation, with properties calculated at the GGA-PBE level.

a b c (Å): 4.949 4.949 3.683
angles (deg): 90.00 90.00 90.00
Last column: magnetic moment on the atom in μB.
Fractional coordinates of all 5 atoms:
N  0.000  0.000  0.500  0.04
S  0.500  0.000  0.000  0.00
S  0.000  0.500  0.000  0.00
Os  0.500  0.500  0.500  1.97
Au  0.000  0.000  0.000  -0.02

Calculated values
total magnetic moment	2.22	μB per formula unit
offset from the most stable computed form	1399	meV/atom

(2)
Below is Hf5Ir2Rh2 after structural relaxation, with properties calculated at the GGA-PBE level.

a b c (Å): 6.692 6.642 8.387
angles (deg): 113.33 90.00 90.00
Fractional coordinates of all 18 atoms:
Ir  0.500  0.718  0.436
Ir  0.500  0.282  0.564
Ir  0.000  0.782  0.564
Ir  0.000  0.218  0.436
Hf  0.180  0.462  0.284
Hf  0.820  0.822  0.284
Hf  0.820  0.538  0.716
Hf  0.320  0.678  0.716
Hf  0.680  0.038  0.716
Hf  0.180  0.178  0.716
Hf  0.320  0.962  0.284
Hf  0.500  0.500  0.000
Hf  0.680  0.322  0.284
Hf  0.000  0.000  0.000
Rh  0.362  0.137  0.000
Rh  0.638  0.863  0.000
Rh  0.138  0.637  0.000
Rh  0.862  0.363  0.000

Calculated values
total energy	-89.14	eV/f.u.
total magnetic moment	0.00	μB per formula unit